Entry from the Alexandria database: a PBEsol-optimized structure of CsSbI2O (SCAN).

Calculated values
Energy above the most stable polymorph in this dataset   0.00 kcal/mol of atoms
Uncorrected formation energy   -4.87 eV/f.u.

Unit cell a=6.3010 b=6.3010 c=4.1669 alpha=90.00 beta=90.00 gamma=90.00
With the nearest neighbours (Å) after each atom.
Element x y z (fractional)
Cs1 0.0000 0.0000 0.0000  8 I 3.78, 2 Cs 4.17
Sb1 0.5000 0.5000 0.5000  2 O 2.08
I1 0.0000 0.5000 0.5000  2 Sb 3.15
I2 0.5000 0.0000 0.5000  2 Sb 3.15
O1 0.5000 0.5000 0.0000  2 Sb 2.08

Entry from the Alexandria database: a PBEsol-optimized structure of MgSc2N (SCAN).

Calculated values
Uncorrected formation energy   -3.70 eV/f.u.

Unit cell a=8.6360 b=8.6360 c=8.6360 alpha=21.19 beta=21.19 gamma=21.19
With the nearest neighbours (Å) after each atom.
Element x y z (fractional)
Mg1 0.0000 0.0000 0.0000  2 Sc 3.04, 6 Mg 3.18
Sc1 0.1201 0.1201 0.1201  3 N 2.18
Sc2 0.8799 0.8799 0.8799  3 N 2.18
N1 0.5000 0.5000 0.5000  6 Sc 2.18

Entry from the Alexandria database: a PBEsol-optimized structure of SrLi2P (SCAN).

Calculated values
Formation energy   -182 kJ/mol of formula units

Unit cell a=9.4294 b=9.4294 c=9.4294 alpha=152.47 beta=152.47 gamma=39.32
With the nearest neighbours (Å) after each atom.
Element x y z (fractional)
Sr1 0.0000 0.0000 0.0000  4 Li 3.12, 4 P 3.17
Sr2 0.7500 0.2500 0.5000  4 Li 3.12, 4 P 3.17
Li1 0.2938 0.6250 0.1688  2 Li 2.36, 2 P 2.51
Li2 0.3750 0.5438 0.6688  2 Li 2.36, 2 P 2.51
Li3 0.4562 0.1250 0.8312  2 Li 2.36, 2 P 2.51
Li4 0.8750 0.7062 0.3312  2 Li 2.36, 2 P 2.51
P1 0.2500 0.7500 0.5000  4 Li 2.51
P2 0.5000 0.5000 0.0000  4 Li 2.51